A relaxed structure of ZnP2Ir, computed with GGA-PBE.

## Properties
The calculated volume comes out at 66 Å³ per cell. The crystal system is monoclinic. Its formation energy is -0.1240 eV per atom. For the magnetization, the calculation gives 0.000 μB per atom.

Geometry as extended XYZ:
```
4
Lattice="4.476 0.000 0.000 0.000 4.425 0.041 0.000 2.571 3.373" Properties=species:S:1:pos:R:3 pbc="T T T"
P 0.000 6.499 3.262
P 2.238 1.075 0.373
Zn 0.000 4.212 2.205
Ir 2.238 5.703 2.694
```